Entry 1:
This record from the Alexandria database describes a geometry-optimized LaDyHgSb structure. The functional is PBE-GGA.

Summary:
Space-group type: F-43m, No. 216
ΔE_f (raw), eV/atom: -0.666
Crystal system: cubic
Density of states at the Fermi level, states/eV/atom: 1.037

abc: 5.422 5.422 5.422
angles: 60.00 60.00 60.00
Element x y z (fractional)
Sb: 0.000 0.000 0.000
Hg: 0.500 0.500 0.500
Dy: 0.250 0.250 0.250
La: 0.750 0.750 0.750



Entry 2:
This record from the Alexandria database describes a geometry-optimized Be2SbAu2 structure. The functional is PBE-GGA.

Summary:
Space-group type: I4/mmm, No. 139
ΔE_f (raw), eV/atom: -0.047
Crystal system: tetragonal
Density of states at the Fermi level, states/eV/atom: 0.228

abc: 3.411 3.411 7.674
angles: 77.16 77.16 90.00
Element x y z (fractional)
Be: 0.250 0.750 0.500
Be: 0.750 0.250 0.500
Au: 0.360 0.360 0.280
Au: 0.640 0.640 0.720
Sb: 0.000 0.000 0.000



Entry 3:
This record from the Alexandria database describes a geometry-optimized CsTe2PtN structure. The functional is PBE-GGA.

Summary:
Space-group type: P4/mmm, No. 123
ΔE_f (raw), eV/atom: 0.167
Crystal system: tetragonal
Density of states at the Fermi level, states/eV/atom: 0.673

abc: 6.336 6.336 3.660
angles: 90.00 90.00 90.00
Element x y z (fractional)
Cs: 0.500 0.500 0.500
N: 0.000 0.000 0.500
Te: 0.500 0.000 0.000
Te: 0.000 0.500 0.000
Pt: 0.000 0.000 0.000



Entry 4:
This record from the Alexandria database describes a geometry-optimized ZrH4 structure. The functional is PBE-GGA.

Summary:
Space-group type: Pm-3m, No. 221
VASP energy, eV/atom: -3.9960
Crystal system: cubic
Density of states at the Fermi level, states/eV/atom: 0.257

abc: 3.792 3.792 3.792
angles: 90.00 90.00 90.00
Element x y z (fractional)
H: 0.500 0.500 0.000
H: 0.500 0.000 0.500
H: 0.000 0.500 0.500
H: 0.000 0.000 0.000
Zr: 0.500 0.500 0.500



Entry 5:
This record from the Alexandria database describes a geometry-optimized Tb2Ga3Pt2 structure. The functional is PBE-GGA.

Summary:
Space-group type: Cmcm, No. 63
Crystal system: orthorhombic
ΔE_f, eV per atom: -0.907
Density of states at the Fermi level, states/eV/atom: 0.367

abc: 3.988 7.388 9.531
angles: 90.00 102.07 90.00
Element x y z (fractional)
Tb: 0.932 0.250 0.865
Tb: 0.842 0.750 0.683
Tb: 0.068 0.750 0.135
Tb: 0.158 0.250 0.317
Ga: 0.772 0.250 0.544
Ga: 0.442 0.579 0.885
Ga: 0.558 0.421 0.115
Ga: 0.442 0.921 0.885
Ga: 0.558 0.079 0.115
Ga: 0.228 0.750 0.456
Pt: 0.313 0.450 0.627
Pt: 0.687 0.950 0.373
Pt: 0.687 0.550 0.373
Pt: 0.313 0.050 0.627



Entry 6:
This record from the Alexandria database describes a geometry-optimized CuRuSe structure. The functional is PBE-GGA.

Summary:
Space-group type: P-6m2, No. 187
ΔE_f (raw), eV/atom: 0.301
Crystal system: hexagonal
Density of states at the Fermi level, states/eV/atom: 0.682

abc: 4.122 4.122 3.141
angles: 90.00 90.00 120.00
Element x y z (fractional)
Se: 0.333 0.667 0.500
Ru: 0.667 0.333 0.500
Cu: 0.000 0.000 0.000



Entry 7:
This record from the Alexandria database describes a geometry-optimized KSb2Os structure. The functional is PBE-GGA.

Summary:
Space-group type: Pmm2, No. 25
ΔE_f (raw), eV/atom: 0.602
Crystal system: orthorhombic
Density of states at the Fermi level, states/eV/atom: 1.071

abc: 5.150 2.909 7.130
angles: 90.01 90.00 90.00
Element x y z (fractional)
Os: 0.500 0.999 0.833
Sb: 0.500 0.000 0.211
Sb: 0.000 0.000 0.957
K: 0.000 0.500 0.499



Entry 8:
This record from the Alexandria database describes a geometry-optimized YMn2W structure. The functional is PBE-GGA.

Summary:
Space-group type: Cm, No. 8
Crystal system: monoclinic
ΔE_f, eV per atom: 0.471
Density of states at the Fermi level, states/eV/atom: 1.024

abc: 4.977 4.977 5.039
angles: 73.03 73.03 35.49
Each line ends with the local moment (μB).
Element x y z (fractional)
Mn: 0.035 0.035 0.921  2.09
Mn: 0.748 0.748 0.746  -1.24
W: 0.465 0.465 0.590  -0.12
Y: 0.252 0.252 0.242  0.03



Entry 9:
This record from the Alexandria database describes a geometry-optimized MgAg2GeO4 structure. The functional is PBE-GGA.

Summary:
Space-group type: I-4, No. 82
ΔE_f (raw), eV/atom: -1.331
Crystal system: tetragonal
Density of states at the Fermi level, states/eV/atom: 0.035

abc: 5.102 5.103 5.692
angles: 116.64 116.65 90.00
Element x y z (fractional)
Ag: 0.486 0.986 0.972
Ag: 0.236 0.236 0.471
Mg: 0.986 0.486 0.972
Ge: 0.736 0.736 0.472
O: 0.691 0.620 0.706
O: 0.385 0.781 0.237
O: 0.852 0.457 0.237
O: 0.015 0.087 0.707



Entry 10:
This record from the Alexandria database describes a geometry-optimized CuTeOsPd2 structure. The functional is PBE-GGA.

Summary:
Space-group type: P4/mmm, No. 123
ΔE_f (raw), eV/atom: 1.335
Crystal system: tetragonal
Density of states at the Fermi level, states/eV/atom: 1.145

abc: 4.548 4.645 4.548
angles: 90.00 90.00 90.00
Element x y z (fractional)
Pd: 0.000 0.000 0.500
Pd: 0.500 0.000 0.000
Te: 0.000 0.500 0.000
Os: 0.500 0.500 0.500
Cu: 0.000 0.000 0.000



Entry 11:
This record from the Alexandria database describes a geometry-optimized Pm10Tm4Pu structure. The functional is PBE-GGA.

Summary:
Space-group type: I4/m, No. 87
Crystal system: tetragonal
ΔE_f, eV per atom: 0.357
Density of states at the Fermi level, states/eV/atom: 1.905

abc: 10.553 8.704 8.704
angles: 68.44 52.68 52.68
Each line ends with the local moment (μB).
Element x y z (fractional)
Tm: 0.672 0.267 0.390  0.06
Tm: 0.938 0.390 0.733  0.06
Tm: 0.062 0.610 0.267  0.06
Tm: 0.328 0.733 0.610  0.06
Pm: 0.250 0.500 0.500  -0.06
Pm: 0.444 0.099 0.328  -0.04
Pm: 0.750 0.500 0.500  -0.06
Pm: 0.871 0.901 0.672  -0.04
Pm: 0.772 0.672 0.099  -0.04
Pm: 0.543 0.328 0.901  -0.04
Pm: 0.129 0.099 0.328  -0.04
Pm: 0.556 0.901 0.672  -0.04
Pm: 0.228 0.328 0.901  -0.04
Pm: 0.457 0.672 0.099  -0.04
Pu: 0.000 0.000 0.000  5.71



Entry 12:
This record from the Alexandria database describes a geometry-optimized KYHf structure. The functional is PBE-GGA.

Summary:
Space-group type: P-6m2, No. 187
Crystal system: hexagonal
ΔE_f, eV per atom: 0.990
Density of states at the Fermi level, states/eV/atom: 1.926

abc: 6.014 6.014 3.115
angles: 90.00 90.00 120.00
Each line ends with the local moment (μB).
Element x y z (fractional)
Hf: 0.333 0.667 0.000  0.45
Y: 0.000 0.000 0.000  0.32
K: 0.667 0.333 0.500  0.01



Entry 13:
This record from the Alexandria database describes a geometry-optimized Cr2AgBi structure. The functional is PBE-GGA.

Summary:
Space-group type: I-42d, No. 122
Crystal system: tetragonal
ΔE_f, eV per atom: 0.789
Density of states at the Fermi level, states/eV/atom: 0.467

abc: 7.640 7.640 6.189
angles: 51.89 51.89 90.00
Each line ends with the local moment (μB).
Element x y z (fractional)
Bi: 0.750 0.250 0.500  -0.22
Bi: 0.000 0.000 0.000  -0.22
Cr: 0.375 0.386 0.750  3.77
Cr: 0.875 0.864 0.750  3.79
Cr: 0.136 0.625 0.250  3.78
Cr: 0.614 0.125 0.250  3.76
Ag: 0.250 0.750 0.500  0.05
Ag: 0.500 0.500 0.000  0.05



Entry 14:
This record from the Alexandria database describes a geometry-optimized LaTbCe2As4 structure. The functional is PBE-GGA.

Summary:
Space-group type: P2/m, No. 10
Crystal system: monoclinic
ΔE_f, eV per atom: -1.484
Density of states at the Fermi level, states/eV/atom: 1.385

abc: 4.238 7.339 7.344
angles: 70.55 90.00 90.00
Each line ends with the local moment (μB).
Element x y z (fractional)
As: 0.500 0.751 0.256  -0.02
As: 0.000 0.756 0.742  -0.02
As: 0.000 0.244 0.258  -0.02
As: 0.500 0.249 0.744  -0.02
Ce: 0.000 0.000 0.000  0.65
Ce: 0.500 0.000 0.500  0.54
La: 0.500 0.500 0.000  0.01
Tb: 0.000 0.500 0.500  0.00



Entry 15:
This record from the Alexandria database describes a geometry-optimized BaTeW2 structure. The functional is PBE-GGA.

Summary:
Space-group type: I4/mmm, No. 139
ΔE_f (raw), eV/atom: 1.483
Crystal system: tetragonal
Density of states at the Fermi level, states/eV/atom: 1.295

abc: 6.160 6.160 6.160
angles: 139.39 139.39 58.78
Element x y z (fractional)
Te: 0.750 0.250 0.500
W: 0.000 0.000 0.000
W: 0.500 0.500 0.000
Ba: 0.250 0.750 0.500



Entry 16:
This record from the Alexandria database describes a geometry-optimized SrTcOs2 structure. The functional is PBE-GGA.

Summary:
Space-group type: Pmmm, No. 47
Crystal system: orthorhombic
ΔE_f, eV per atom: 0.624
Density of states at the Fermi level, states/eV/atom: 1.326

abc: 2.830 3.661 7.363
angles: 90.00 90.00 90.00
Element x y z (fractional)
Sr: 0.500 0.500 0.250
Os: 0.000 0.000 0.572
Os: 0.000 0.000 0.928
Tc: 0.500 0.500 0.750



Entry 17:
This record from the Alexandria database describes a geometry-optimized SmErSbS structure. The functional is PBE-GGA.

Summary:
Space-group type: R3m, No. 160
ΔE_f (raw), eV/atom: -1.386
Crystal system: trigonal
Density of states at the Fermi level, states/eV/atom: 0.468

abc: 4.076 4.076 7.735
angles: 90.00 105.27 120.00
Each line ends with the local moment (μB).
Element x y z (fractional)
Sm: 0.974 0.385 0.374  0.21
Sb: 0.128 0.962 0.105  0.00
Er: 0.296 0.546 0.858  0.06
S: 0.479 0.138 0.632  -0.01



Entry 18:
This record from the Alexandria database describes a geometry-optimized Rb3Sm3TcO8 structure. The functional is PBE-GGA.

Summary:
Space-group type: R-3m, No. 166
ΔE_f (raw), eV/atom: -2.354
Crystal system: trigonal

abc: 6.977 6.977 7.746
angles: 116.78 90.00 120.00
Each line ends with the local moment (μB).
Element x y z (fractional)
Rb: 0.000 0.500 0.000  0.00
Rb: 0.000 0.000 0.000  0.00
Rb: 0.500 0.500 0.000  0.00
Sm: 0.500 0.000 0.500  0.01
Sm: 0.000 0.500 0.500  0.01
Sm: 0.500 0.500 0.500  0.01
O: 0.795 0.040 0.335  0.07
O: 0.245 0.040 0.335  0.07
O: 0.726 0.451 0.677  0.00
O: 0.205 0.960 0.665  0.07
O: 0.274 0.549 0.323  0.00
O: 0.755 0.960 0.665  0.07
O: 0.795 0.589 0.335  0.07
O: 0.205 0.411 0.665  0.07
Tc: 0.000 0.000 0.500  2.31



Entry 19:
This record from the Alexandria database describes a geometry-optimized LiCoSb structure. The functional is PBE-GGA.

Summary:
Space-group type: P-6m2, No. 187
ΔE_f (raw), eV/atom: -0.063
Crystal system: hexagonal
Density of states at the Fermi level, states/eV/atom: 0.760

abc: 4.283 4.283 3.138
angles: 90.00 90.00 120.00
Each line ends with the local moment (μB).
Element x y z (fractional)
Li: 0.667 0.333 0.333  0.00
Co: 0.000 0.000 0.833  0.29
Sb: 0.333 0.667 0.834  0.00



Entry 20:
This record from the Alexandria database describes a geometry-optimized K2LiH structure. The functional is PBE-GGA.

Summary:
Space-group type: I-42d, No. 122
VASP energy, eV/atom: -1.7680
Crystal system: tetragonal
Density of states at the Fermi level, states/eV/atom: 0.293

abc: 8.176 8.176 7.544
angles: 57.18 57.18 90.00
Element x y z (fractional)
H: 0.500 0.500 0.000
H: 0.250 0.750 0.500
K: 0.875 0.752 0.750
K: 0.248 0.625 0.250
K: 0.502 0.125 0.250
K: 0.375 0.498 0.750
Li: 0.000 0.000 0.000
Li: 0.750 0.250 0.500